(1)
LiB2C2 | PBE | optimized geometry

## Properties
- DOS(E_F) (states/eV per atom) = 0.29
- energy relative to the elements (eV per atom) = 0.01
- total magnetization (μB/f.u.) = 0.0
- space-group type = P-6m2, No. 187

a = 2.748 Å, b = 2.748 Å, c = 11.564 Å
α = 90.00°, β = 90.00°, γ = 120.00°
Atoms (fractional coordinates):
C 0.333 0.667 0.625
B 0.333 0.667 0.318
C 0.667 0.333 0.924
Li 0.000 0.000 0.473
Li 0.000 0.000 0.777
B 0.667 0.333 0.625
C 0.333 0.667 0.125
B 0.667 0.333 0.125
B 0.333 0.667 0.932
C 0.667 0.333 0.326

***

(2)
PmNd2Ga2 | PBE | optimized geometry

## Properties
- DOS(E_F) (states/eV per atom) = 1.10
- energy relative to the elements (eV per atom) = -0.36
- total magnetization (μB/f.u.) = 0.0
- space-group type = C2/m, No. 12

a = 3.777 Å, b = 6.106 Å, c = 6.550 Å
α = 101.57°, β = 106.76°, γ = 90.00°
Atoms (fractional coordinates):
Ga 0.705 0.105 0.409
Nd 0.635 0.568 0.271
Pm 0.000 0.000 0.000
Ga 0.295 0.895 0.591
Nd 0.365 0.432 0.729